Computed, not measured: crystalline Tb2LuAl at its relaxed geometry at the PBE level of DFT.

The value obtained for the formation enthalpy at 0 K is -0.171 eV/atom. For the total magnetization, the calculation gives 0.0 μB/cell. The total energy is -18.2 eV/f.u. As for the distance to the lowest polymorph of the same formula: 18 meV per atom.

```
4
Lattice="-1.134 -0.385 -3.281 1.921 -2.899 -0.324 -6.951 -4.940 2.981" Properties=species:S:1:pos:R:3 pbc="T T T"
Al 0.394 -1.642 -1.802
Lu -3.082 -4.112 -0.312
Tb -5.441 -3.867 2.333
Tb -1.510 -1.073 0.647
```


Computed, not measured: crystalline Zn4Fe at its relaxed geometry at the PBE level of DFT.

The value obtained for the formation enthalpy at 0 K is 0.501 eV/atom. For the total magnetization, the calculation gives 2.8 μB/cell. The total energy is -11.1 eV/f.u. As for the distance to the lowest polymorph of the same formula: 436 meV per atom.

```
5
Lattice="4.703 0.000 0.000 -2.352 3.749 -2.352 0.000 0.000 4.703" Properties=species:S:1:pos:R:3 pbc="T T T"
Zn 2.352 1.875 0.000
Zn 2.352 1.166 2.352
Zn 0.000 2.583 0.000
Zn 0.000 1.875 2.352
Fe 0.000 0.000 0.000
```


Computed, not measured: crystalline TaAgAu2 at its relaxed geometry at the PBE level of DFT.

The value obtained for the formation enthalpy at 0 K is 0.150 eV/atom. For the total magnetization, the calculation gives 0.0 μB/cell. The total energy is -20.7 eV/f.u.

```
4
Lattice="-3.570 2.502 -3.949 0.323 -1.360 -5.713 -1.018 -1.403 5.621" Properties=species:S:1:pos:R:3 pbc="T T T"
Ta -1.661 0.584 -4.941
Au -3.085 0.827 -1.517
Au -3.219 1.131 -9.577
Ag -1.172 -1.092 -2.500
```


Computed, not measured: crystalline La2Al7Ga at its relaxed geometry at the PBE level of DFT.

The value obtained for the formation enthalpy at 0 K is -0.366 eV/atom. For the total magnetization, the calculation gives 0.0 μB/cell. The total energy is -42.7 eV/f.u.

```
10
Lattice="-1.731 2.834 2.817 -0.772 -3.250 2.794 10.090 1.574 4.616" Properties=species:S:1:pos:R:3 pbc="T T T"
Al 0.000 0.000 0.000
Al 8.348 -0.263 5.393
Al 5.045 0.787 2.308
Al 6.040 -0.623 4.337
Al 2.799 1.988 3.085
Al 3.794 0.579 5.114
Al 0.491 1.628 2.029
La 2.135 -1.232 2.550
La 6.704 2.597 4.872
Ga -1.251 -0.208 2.806
```